No. 1
This record from the Alexandria database describes an optimized crystal structure of Ac4SmN5. The functional is PBE.

```
Ac4SmN5
1.0
-4.194 4.194 2.913
4.194 -4.194 2.913
4.194 4.194 -2.913
Ac Sm N
4 1 5
direct
0.104 0.702 0.805
0.298 0.104 0.402
0.702 0.896 0.598
0.896 0.298 0.195
0.495 0.495 0.000
0.097 0.097 0.000
0.267 0.462 0.616
0.462 0.847 0.196
0.651 0.267 0.804
0.847 0.651 0.384
```

total energy = -74.19 eV per formula unit
total moment = 0.00 Bohr magnetons per cell
E_form (uncorrected) = -1.141 eV per atom

No. 2
This record from the Alexandria database describes an optimized crystal structure of AcSm5N6. The functional is PBE.

```
AcSm5N6
1.0
3.160 -5.473 0.000
3.160 5.473 0.000
-2.100 0.000 5.947
Ac Sm N
1 5 6
direct
0.000 0.000 0.000
0.170 0.830 0.500
0.334 0.666 0.000
0.500 0.500 0.500
0.666 0.334 0.000
0.830 0.170 0.500
0.085 0.431 0.256
0.262 0.262 0.746
0.431 0.085 0.256
0.569 0.915 0.744
0.738 0.738 0.254
0.915 0.569 0.744
```

total energy = -94.18 eV per formula unit
total moment = 0.00 Bohr magnetons per cell
E_form (uncorrected) = -1.377 eV per atom

No. 3
This record from the Alexandria database describes an optimized crystal structure of Ac2Sm4Sn3N2. The functional is PBE.

```
Ac2Sm4Sn3N2
1.0
-2.455 2.455 13.207
2.455 -2.455 13.207
2.455 2.455 -13.207
Ac Sm Sn N
2 4 3 2
direct
0.192 0.192 0.000
0.808 0.808 0.000
0.081 0.581 0.500
0.419 0.919 0.500
0.581 0.081 0.500
0.919 0.419 0.500
0.330 0.330 0.000
0.500 0.500 0.000
0.670 0.670 0.000
0.098 0.098 0.000
0.902 0.902 0.000
```

total energy = -66.38 eV per formula unit
total moment = 0.00 Bohr magnetons per cell
E_form (uncorrected) = -0.966 eV per atom

No. 4
This record from the Alexandria database describes an optimized crystal structure of AcSmTaN3. The functional is PBE.

```
AcSmTaN3
1.0
7.856 0.000 0.000
0.000 3.628 0.000
-1.046 0.000 8.056
Ac Sm Ta N
2 2 2 6
direct
0.174 0.250 0.180
0.826 0.750 0.820
0.167 0.250 0.613
0.833 0.750 0.387
0.403 0.750 0.890
0.597 0.250 0.110
0.128 0.750 0.398
0.156 0.750 0.873
0.490 0.750 0.158
0.510 0.250 0.842
0.844 0.250 0.127
0.872 0.250 0.602
```

total energy = -51.73 eV per formula unit
total moment = 0.51 Bohr magnetons per cell
E_form (uncorrected) = -1.013 eV per atom

No. 5
This record from the Alexandria database describes an optimized crystal structure of Ac3Sm2TaN6. The functional is PBE.

```
Ac3Sm2TaN6
1.0
3.116 -5.391 0.000
3.116 5.391 0.000
-2.052 0.000 6.031
Ac Sm Ta N
3 2 1 6
direct
0.000 0.000 0.000
0.333 0.667 0.000
0.667 0.333 0.000
0.167 0.833 0.500
0.833 0.167 0.500
0.500 0.500 0.500
0.137 0.431 0.295
0.275 0.275 0.716
0.431 0.137 0.295
0.569 0.863 0.705
0.725 0.725 0.284
0.863 0.569 0.705
```

total energy = -97.65 eV per formula unit
total moment = 0.00 Bohr magnetons per cell
E_form (uncorrected) = -1.174 eV per atom

No. 6
This record from the Alexandria database describes an optimized crystal structure of AcSm2TaN4. The functional is PBE.

```
AcSm2TaN4
1.0
1.767 -6.264 0.000
1.767 6.264 0.000
0.000 0.000 12.356
Ac Sm Ta N
2 4 2 8
direct
0.091 0.909 0.750
0.909 0.091 0.250
0.371 0.629 0.536
0.371 0.629 0.964
0.629 0.371 0.036
0.629 0.371 0.464
0.170 0.830 0.250
0.830 0.170 0.750
0.000 0.000 0.000
0.000 0.000 0.500
0.263 0.737 0.125
0.263 0.737 0.375
0.422 0.578 0.750
0.578 0.422 0.250
0.737 0.263 0.625
0.737 0.263 0.875
```

total energy = -68.26 eV per formula unit
total moment = 0.00 Bohr magnetons per cell
E_form (uncorrected) = -1.195 eV per atom

No. 7
This record from the Alexandria database describes an optimized crystal structure of AcSmTaN4. The functional is PBE.

```
AcSmTaN4
1.0
2.898 -6.380 0.000
2.898 6.380 0.000
0.000 0.000 5.779
Ac Sm Ta N
2 2 2 8
direct
0.104 0.896 0.750
0.896 0.104 0.250
0.391 0.609 0.750
0.609 0.391 0.250
0.257 0.743 0.250
0.743 0.257 0.750
0.000 0.500 0.000
0.000 0.500 0.500
0.088 0.912 0.250
0.422 0.578 0.250
0.500 0.000 0.000
0.500 0.000 0.500
0.578 0.422 0.750
0.912 0.088 0.750
```

total energy = -61.74 eV per formula unit
total moment = 0.01 Bohr magnetons per cell
E_form (uncorrected) = -1.109 eV per atom

No. 8
This record from the Alexandria database describes an optimized crystal structure of AcSmTcN4. The functional is PBE.

```
AcSmTcN4
1.0
-1.959 1.959 6.503
1.959 -1.959 6.503
1.959 1.959 -6.503
Ac Sm Tc N
1 1 1 4
direct
0.000 0.000 0.000
0.708 0.708 0.000
0.347 0.347 0.000
0.191 0.191 0.000
0.349 0.849 0.500
0.525 0.525 0.000
0.849 0.349 0.500
```

total energy = -57.71 eV per formula unit
total moment = 0.00 Bohr magnetons per cell
E_form (uncorrected) = -0.745 eV per atom

No. 9
This record from the Alexandria database describes an optimized crystal structure of AcSm2TcN4. The functional is PBE.

```
AcSm2TcN4
1.0
1.791 -6.091 0.000
1.791 6.091 0.000
0.000 0.000 11.964
Ac Sm Tc N
2 4 2 8
direct
0.112 0.888 0.750
0.888 0.112 0.250
0.368 0.632 0.541
0.368 0.632 0.959
0.632 0.368 0.041
0.632 0.368 0.459
0.153 0.847 0.250
0.847 0.153 0.750
0.000 0.000 0.000
0.000 0.000 0.500
0.265 0.735 0.128
0.265 0.735 0.372
0.422 0.578 0.750
0.578 0.422 0.250
0.735 0.265 0.628
0.735 0.265 0.872
```

total energy = -64.95 eV per formula unit
total moment = 0.00 Bohr magnetons per cell
E_form (uncorrected) = -0.967 eV per atom

No. 10
This record from the Alexandria database describes an optimized crystal structure of Ac3SmTc2N6. The functional is PBE.

```
Ac3SmTc2N6
1.0
6.100 0.000 0.000
-3.050 5.282 0.000
0.000 0.000 7.013
Ac Sm Tc N
3 1 2 6
direct
0.000 0.000 0.000
0.333 0.667 0.690
0.667 0.333 0.310
0.000 0.000 0.500
0.333 0.667 0.187
0.667 0.333 0.813
0.171 0.343 0.283
0.171 0.829 0.283
0.343 0.171 0.717
0.657 0.829 0.283
0.829 0.171 0.717
0.829 0.657 0.717
```

total energy = -96.50 eV per formula unit
total moment = 0.00 Bohr magnetons per cell
E_form (uncorrected) = -0.731 eV per atom

No. 11
This record from the Alexandria database describes an optimized crystal structure of Ac2SmTe2N2. The functional is PBE.

```
Ac2SmTe2N2
1.0
-2.309 2.309 8.539
2.309 -2.309 8.539
2.309 2.309 -8.539
Ac Sm Te N
2 1 2 2
direct
0.107 0.107 0.000
0.893 0.893 0.000
0.500 0.500 0.000
0.316 0.316 0.000
0.684 0.684 0.000
0.000 0.500 0.500
0.500 0.000 0.500
```

total energy = -44.61 eV per formula unit
total moment = 0.00 Bohr magnetons per cell
E_form (uncorrected) = -1.249 eV per atom

No. 12
This record from the Alexandria database describes an optimized crystal structure of Ac4SmTh3N8. The functional is PBE.

```
Ac4SmTh3N8
1.0
3.748 2.164 6.215
-3.748 2.164 6.215
0.000 -4.328 6.215
Ac Sm Th N
4 1 3 8
direct
0.000 0.000 0.000
0.000 0.500 0.500
0.500 0.000 0.500
0.500 0.500 0.000
0.500 0.500 0.500
0.000 0.000 0.500
0.000 0.500 0.000
0.500 0.000 0.000
0.234 0.743 0.743
0.239 0.239 0.239
0.257 0.257 0.766
0.257 0.766 0.257
0.743 0.234 0.743
0.743 0.743 0.234
0.761 0.761 0.761
0.766 0.257 0.257
```

total energy = -131.66 eV per formula unit
total moment = 0.00 Bohr magnetons per cell
E_form (uncorrected) = -1.353 eV per atom

No. 13
This record from the Alexandria database describes an optimized crystal structure of Ac3SmTh2N6. The functional is PBE.

```
Ac3SmTh2N6
1.0
3.245 -5.618 0.000
3.245 5.618 0.000
-2.158 0.000 6.213
Ac Sm Th N
3 1 2 6
direct
0.000 0.000 0.000
0.335 0.665 0.000
0.665 0.335 0.000
0.500 0.500 0.500
0.167 0.833 0.500
0.833 0.167 0.500
0.086 0.427 0.279
0.233 0.233 0.720
0.427 0.086 0.279
0.573 0.914 0.721
0.767 0.767 0.280
0.914 0.573 0.721
```

total energy = -97.95 eV per formula unit
total moment = 0.00 Bohr magnetons per cell
E_form (uncorrected) = -1.343 eV per atom

No. 14
This record from the Alexandria database describes an optimized crystal structure of AcSm3Th2N6. The functional is PBE.

```
AcSm3Th2N6
1.0
7.982 -1.835 0.000
7.982 1.835 0.000
-1.630 0.000 7.160
Ac Sm Th N
1 3 2 6
direct
0.000 0.000 0.000
0.000 0.000 0.500
0.332 0.332 0.165
0.668 0.668 0.835
0.333 0.333 0.665
0.667 0.667 0.335
0.169 0.169 0.579
0.173 0.173 0.096
0.492 0.492 0.731
0.508 0.508 0.269
0.827 0.827 0.904
0.831 0.831 0.421
```

total energy = -100.47 eV per formula unit
total moment = 0.00 Bohr magnetons per cell
E_form (uncorrected) = -1.451 eV per atom

No. 15
This record from the Alexandria database describes an optimized crystal structure of AcSmTiN3. The functional is PBE.

```
AcSmTiN3
1.0
7.714 0.000 0.000
0.000 3.678 0.000
-1.400 0.000 7.711
Ac Sm Ti N
2 2 2 6
direct
0.178 0.250 0.183
0.822 0.750 0.817
0.367 0.750 0.837
0.633 0.250 0.163
0.099 0.250 0.600
0.901 0.750 0.400
0.110 0.250 0.846
0.158 0.750 0.524
0.409 0.750 0.138
0.591 0.250 0.862
0.842 0.250 0.476
0.890 0.750 0.154
```

total energy = -49.07 eV per formula unit
total moment = 0.00 Bohr magnetons per cell
E_form (uncorrected) = -1.229 eV per atom

No. 16
This record from the Alexandria database describes an optimized crystal structure of AcSm2TlN. The functional is PBE.

```
AcSm2TlN
1.0
5.030 0.000 0.000
0.000 5.030 0.000
0.000 0.000 5.272
Ac Sm Tl N
1 2 1 1
direct
0.000 0.000 0.000
0.000 0.500 0.500
0.500 0.000 0.500
0.500 0.500 0.000
0.000 0.000 0.500
```

total energy = -27.96 eV per formula unit
total moment = 0.00 Bohr magnetons per cell
E_form (uncorrected) = -0.744 eV per atom

No. 17
This record from the Alexandria database describes an optimized crystal structure of AcSm2UN4. The functional is PBE.

```
AcSm2UN4
1.0
1.815 -6.303 0.000
1.815 6.303 0.000
0.000 0.000 12.556
Ac Sm U N
2 4 2 8
direct
0.165 0.835 0.750
0.835 0.165 0.250
0.370 0.630 0.516
0.370 0.630 0.984
0.630 0.370 0.016
0.630 0.370 0.484
0.101 0.899 0.250
0.899 0.101 0.750
0.000 0.000 0.000
0.000 0.000 0.500
0.233 0.767 0.123
0.233 0.767 0.377
0.498 0.502 0.750
0.502 0.498 0.250
0.767 0.233 0.623
0.767 0.233 0.877
```

total energy = -66.69 eV per formula unit
total moment = 4.58 Bohr magnetons per cell
E_form (uncorrected) = -1.069 eV per atom

No. 18
This record from the Alexandria database describes an optimized crystal structure of AcSmUN3. The functional is PBE.

```
AcSmUN3
1.0
7.757 0.000 0.000
0.000 3.752 0.000
-1.498 0.000 8.651
Ac Sm U N
2 2 2 6
direct
0.177 0.250 0.149
0.823 0.750 0.851
0.374 0.750 0.849
0.626 0.250 0.151
0.063 0.250 0.596
0.937 0.750 0.404
0.107 0.250 0.845
0.209 0.750 0.585
0.402 0.750 0.121
0.598 0.250 0.879
0.791 0.250 0.415
0.893 0.750 0.155
```

total energy = -51.12 eV per formula unit
total moment = 0.00 Bohr magnetons per cell
E_form (uncorrected) = -1.005 eV per atom

No. 19
This record from the Alexandria database describes an optimized crystal structure of Ac2Sm3UN6. The functional is PBE.

```
Ac2Sm3UN6
1.0
3.186 -5.568 0.000
3.186 5.568 0.000
-2.131 0.000 5.893
Ac Sm U N
2 3 1 6
direct
0.167 0.833 0.000
0.833 0.167 0.000
0.000 0.000 0.500
0.342 0.658 0.500
0.658 0.342 0.500
0.500 0.500 0.000
0.137 0.420 0.763
0.285 0.285 0.247
0.420 0.137 0.763
0.580 0.863 0.237
0.715 0.715 0.753
0.863 0.580 0.237
```

total energy = -99.47 eV per formula unit
total moment = 0.43 Bohr magnetons per cell
E_form (uncorrected) = -1.321 eV per atom

No. 20
This record from the Alexandria database describes an optimized crystal structure of Ac2SmWN4. The functional is PBE.

```
Ac2SmWN4
1.0
1.796 -6.320 0.000
1.796 6.320 0.000
0.000 0.000 12.957
Ac Sm W N
4 2 2 8
direct
0.133 0.867 0.537
0.133 0.867 0.963
0.867 0.133 0.037
0.867 0.133 0.463
0.379 0.621 0.750
0.621 0.379 0.250
0.338 0.662 0.250
0.662 0.338 0.750
0.090 0.910 0.750
0.222 0.778 0.147
0.222 0.778 0.353
0.500 0.500 0.000
0.500 0.500 0.500
0.778 0.222 0.647
0.778 0.222 0.853
0.910 0.090 0.250
```

total energy = -64.99 eV per formula unit
total moment = 0.00 Bohr magnetons per cell
E_form (uncorrected) = -0.725 eV per atom